Computed, not measured: Cr2CuPb after structural relaxation at the GGA-PBE level of DFT.

Properties
- E_tot: -24.65 eV for the cell shown
- Magnetic moment: 0.00 μB/f.u.
- Mass density: 9.678 g/cm³
- Symmetry: C2/m
- Formation enthalpy at 0 K: 0.6011 eV per atom

a = 4.718 Å, b = 4.718 Å, c = 4.704 Å
α = 76.36°, β = 76.36°, γ = 39.37°
Fractional coordinates of all 4 atoms:
Cr 0.011 0.011 0.907
Cr 0.489 0.489 0.593
Cu 0.750 0.750 0.750
Pb 0.250 0.250 0.250